1.
Below is crystalline NpCdC at its relaxed geometry, with properties calculated at the PBE level.

Properties
- Magnetic moment: 10.49 μB per cell
- Crystal system: orthorhombic
- E_form: 240 meV per atom

a b c (Å): 21.9408 3.2541 3.2646
angles (deg): 90.00 90.00 90.00
Space group Pnma (No. 62)
One atom of each set of equivalent atoms:
Np: 0.1864 0.2500 0.2485 x4
Cd: 0.0493 0.2500 0.7494 x4
C: 0.2077 0.7500 0.7484 x4


2.
Below is crystalline GeRuN3 at its relaxed geometry, with properties calculated at the PBE level.

Properties
- Magnetic moment: 0.46 μB per cell
- Crystal system: cubic
- ΔE_f (raw): 8.32 eV/f.u.

a b c (Å): 3.7333 3.7333 3.7333
angles (deg): 90.00 90.00 90.00
Space group Pm-3m (No. 221)
One atom of each set of equivalent atoms:
Ge: 0.0000 0.0000 0.0000 x1
Ru: 0.5000 0.5000 0.5000 x1
N: 0.0000 0.0000 0.5000 x3


3.
Below is crystalline Sm2YHg at its relaxed geometry, with properties calculated at the PBE level.

Properties
- Energy relative to the lowest polymorph listed for this composition: 14 meV per atom
- Magnetic moment: 0.00 μB per cell
- Crystal system: tetragonal
- E_form: -218 meV per atom

a b c (Å): 3.6914 3.6914 8.9281
angles (deg): 90.00 90.00 90.00
Space group P4/mmm (No. 123)
One atom of each set of equivalent atoms:
Sm: 0.0000 0.0000 0.2217 x2
Y: 0.5000 0.5000 0.5000 x1
Hg: 0.5000 0.5000 0.0000 x1